<1>
DFT (PBE) results for Ce6PuPb2 after structural relaxation.

```
9
Lattice="-1.025 5.530 -1.432 -6.914 -1.350 -0.302 -3.997 0.760 5.759" Properties=species:S:1:pos:R:3 pbc="T T T"
Ce -6.063 3.451 -0.330
Ce -7.330 0.436 1.330
Ce -4.607 4.504 2.696
Ce -2.612 4.126 -0.179
Ce -9.325 0.813 4.205
Ce -5.874 1.489 4.355
Pu 0.000 0.000 0.000
Pb -3.908 1.302 1.428
Pb -8.029 3.637 2.598
```

Calculated values
V (Å³/atom): 27.763

---

<2>
DFT (PBE) results for Ce6PuPb2 after structural relaxation.

```
18
Lattice="-2.671 2.326 5.566 -4.728 -7.126 -1.620 6.011 -5.132 5.029" Properties=species:S:1:pos:R:3 pbc="T T T"
Pb -2.946 -4.895 5.787
Pb 1.558 -5.036 3.189
Pb -1.243 -0.791 2.143
Pb -0.145 -9.141 6.832
Ce 2.421 -4.454 9.269
Ce -1.101 -7.051 3.590
Ce -3.809 -5.478 -0.293
Ce -4.483 -6.574 3.228
Ce -0.288 -2.881 5.386
Ce -0.457 -5.885 7.844
Ce 3.095 -3.358 5.747
Ce -0.931 -4.047 1.131
Ce -3.135 -8.141 6.126
Ce 2.220 -7.154 5.537
Ce -3.608 -2.778 3.439
Ce 1.746 -1.791 2.850
Pu -2.364 -3.563 -0.810
Pu 1.670 -1.403 5.298
```

Calculated values
V (Å³/atom): 29.116

---

Energy ordering: <1> at the bottom, the next structure 9.3 kJ/mol of atoms above.

---

<1>
DFT (PBE) results for CePuPb2 after structural relaxation.

```
4
Lattice="4.724 0.000 0.000 0.000 4.936 0.000 0.000 0.000 4.936" Properties=species:S:1:pos:R:3 pbc="T T T"
Pu 2.362 2.468 2.468
Pb 0.000 2.468 0.000
Pb 0.000 0.000 2.468
Ce 2.362 0.000 0.000
```

Calculated values
V (Å³/atom): 28.775

---

<2>
DFT (PBE) results for CePuPb2 after structural relaxation.

```
4
Lattice="-3.675 -2.854 2.965 -1.481 -5.073 -1.585 1.624 -4.388 2.924" Properties=species:S:1:pos:R:3 pbc="T T T"
Pu 0.000 0.000 0.000
Pb -2.649 -9.236 3.228
Pb -0.883 -3.079 1.076
Ce -1.766 -6.157 2.152
```

Calculated values
V (Å³/atom): 29.689

---

<3>
DFT (PBE) results for CePuPb2 after structural relaxation.

```
4
Lattice="3.562 0.064 0.083 -0.101 5.816 -0.114 -0.101 -1.585 5.597" Properties=species:S:1:pos:R:3 pbc="T T T"
Pb -0.051 2.908 -0.057
Pb -0.051 -0.793 2.799
Pu 1.781 0.032 0.041
Ce 1.679 2.147 2.783
```

Calculated values
V (Å³/atom): 28.852

---

Energy ordering: <1> at the bottom, the next structure 0.7 kJ/mol of atoms above.

---

<1>
DFT (PBE) results for CePu2Pb after structural relaxation.

```
4
Lattice="-0.458 -4.351 3.141 -0.324 -4.898 -2.215 4.120 -3.438 0.454" Properties=species:S:1:pos:R:3 pbc="T T T"
Pu 2.504 -9.516 1.035
Pu 0.835 -3.172 0.345
Pb 1.669 -6.344 0.690
Ce 0.000 0.000 0.000
```

Calculated values
V (Å³/atom): 27.612

---

<2>
DFT (PBE) results for CePu2Pb after structural relaxation.

```
4
Lattice="4.126 0.000 0.000 0.000 4.126 0.000 0.000 0.000 6.569" Properties=species:S:1:pos:R:3 pbc="T T T"
Pu 0.000 0.000 1.568
Pu 0.000 0.000 5.001
Ce 2.063 2.063 3.284
Pb 2.063 2.063 0.000
```

Calculated values
V (Å³/atom): 27.962

---

<3>
DFT (PBE) results for CePu2Pb after structural relaxation.

```
4
Lattice="-2.833 4.036 0.055 -3.883 -2.726 0.076 0.093 0.001 4.745" Properties=species:S:1:pos:R:3 pbc="T T T"
Pu -1.942 -1.363 0.038
Pu 0.046 0.000 2.372
Ce -3.312 0.655 2.438
Pb -1.416 2.018 0.027
```

Calculated values
V (Å³/atom): 27.763

---

Energy ordering: <3> at the bottom, the next structure 11.7 kJ/mol of atoms above.

---

<1>
DFT (PBE) results for RbCePb2 after structural relaxation.

```
4
Lattice="3.440 0.000 0.000 0.000 6.271 0.000 0.000 0.000 6.271" Properties=species:S:1:pos:R:3 pbc="T T T"
Ce 1.720 3.136 3.136
Pb 0.000 3.136 0.000
Pb 0.000 0.000 3.136
Rb 1.720 0.000 0.000
```

Calculated values
V (Å³/atom): 33.822

---

<2>
DFT (PBE) results for RbCePb2 after structural relaxation.

```
4
Lattice="4.283 0.000 0.000 0.000 4.283 0.000 0.000 0.000 8.251" Properties=species:S:1:pos:R:3 pbc="T T T"
Pb 0.000 0.000 1.539
Pb 0.000 0.000 6.712
Ce 2.142 2.142 0.000
Rb 2.142 2.142 4.125
```

Calculated values
V (Å³/atom): 37.844

---

Energy ordering: <2> at the bottom, the next structure 12.8 kJ/mol of atoms above.

---

<1>
DFT (PBE) results for Ce5RhPb2 after structural relaxation.

```
16
Lattice="4.746 0.000 0.000 0.000 7.946 0.000 0.000 0.000 12.432" Properties=species:S:1:pos:R:3 pbc="T T T"
Pb 2.373 4.678 2.185
Pb 2.373 7.241 8.401
Pb 2.373 0.705 4.031
Pb 2.373 3.268 10.247
Rh 0.000 0.000 0.000
Rh 0.000 3.973 6.216
Ce 2.373 5.585 5.455
Ce 0.000 0.000 6.216
Ce 2.373 6.334 11.671
Ce 2.373 1.612 0.761
Ce 2.373 2.361 6.977
Ce 0.000 0.996 9.950
Ce 0.000 3.973 0.000
Ce 0.000 6.950 2.481
Ce 0.000 2.977 3.735
Ce 0.000 4.969 8.697
```

Calculated values
V (Å³/atom): 29.299

---

<2>
DFT (PBE) results for Ce5RhPb2 after structural relaxation.

```
16
Lattice="5.361 0.000 0.000 -2.681 8.618 0.000 0.000 0.000 12.424" Properties=species:S:1:pos:R:3 pbc="T T T"
Pb 0.000 2.287 10.798
Pb 2.681 6.331 1.626
Pb 2.681 6.331 4.586
Pb 0.000 2.287 7.837
Ce 0.000 0.920 5.063
Ce 2.681 7.698 11.275
Ce 2.681 3.265 3.106
Ce 0.000 5.353 9.318
Ce 0.000 4.709 0.682
Ce 0.000 4.709 5.530
Ce 0.000 0.920 1.149
Ce 2.681 7.698 7.361
Ce 2.681 3.909 11.741
Ce 2.681 3.909 6.894
Rh 0.000 2.917 3.106
Rh 2.681 5.701 9.318
```

Calculated values
V (Å³/atom): 35.876

---

Energy ordering: <1> at the bottom, the next structure 42.0 kJ/mol of atoms above.

---

<1>
DFT (PBE) results for Ce2RuPb after structural relaxation.

```
16
Lattice="-2.429 -3.804 -2.696 -2.575 -2.443 5.767 -9.628 7.072 -1.303" Properties=species:S:1:pos:R:3 pbc="T T T"
Pb -10.866 3.188 2.728
Pb -7.094 -2.087 1.647
Pb -3.767 -2.364 -0.961
Pb -7.538 2.911 0.121
Ce -4.273 -0.270 1.668
Ce -4.173 -4.257 2.077
Ce -10.360 1.095 0.100
Ce -6.717 -0.221 -1.325
Ce -7.915 1.046 3.093
Ce -9.199 2.409 -2.801
Ce -10.459 5.081 -0.309
Ce -5.433 -1.585 4.569
Ru -3.325 -2.070 3.353
Ru -11.308 2.895 -1.586
Ru -9.514 -0.590 1.715
Ru -5.118 1.414 0.053
```

Calculated values
V (Å³/atom): 26.741

---

<2>
DFT (PBE) results for Ce2RuPb after structural relaxation.

```
4
Lattice="3.877 0.000 0.000 1.939 3.358 0.000 1.939 1.119 8.558" Properties=species:S:1:pos:R:3 pbc="T T T"
Ce 1.939 1.119 1.632
Ce 1.939 1.119 6.952
Ru 5.816 3.358 8.496
Pb 3.877 2.239 4.315
```

Calculated values
V (Å³/atom): 27.856

---

Energy ordering: <1> at the bottom, the next structure 13.5 kJ/mol of atoms above.

---

<1>
DFT (PBE) results for Ce5RuPb2 after structural relaxation.

```
16
Lattice="-2.206 -4.093 2.528 7.600 2.087 4.473 -6.380 7.867 7.170" Properties=species:S:1:pos:R:3 pbc="T T T"
Ce 3.147 0.477 3.520
Ce 0.098 0.761 1.317
Ce -1.084 5.100 12.853
Ce -0.220 -0.064 5.244
Ce 0.879 2.679 10.647
Ce -0.766 5.925 8.926
Ce -4.134 5.384 10.651
Ce -1.866 3.182 3.523
Ce -1.682 2.361 7.896
Ce 0.695 3.500 6.275
Pb -3.840 6.854 7.746
Pb 1.325 0.893 8.143
Pb -2.311 4.968 6.027
Pb 2.854 -0.993 6.424
Ru 0.553 1.980 3.689
Ru -1.539 3.881 10.481
```

Calculated values
V (Å³/atom): 35.579

---

<2>
DFT (PBE) results for Ce5RuPb2 after structural relaxation.

```
16
Lattice="-2.329 0.516 4.070 -2.877 -7.377 -0.712 9.805 -4.419 6.170" Properties=species:S:1:pos:R:3 pbc="T T T"
Ru 3.464 -5.898 2.729
Ru 0.000 0.000 0.000
Ce 1.134 -6.858 4.251
Ce -1.155 -1.490 2.262
Ce 5.036 -7.675 3.853
Ce 7.525 -4.460 4.870
Ce 3.466 -4.422 5.277
Ce -1.438 -3.689 -0.356
Ce 5.755 -9.790 7.267
Ce -0.596 -7.336 0.588
Ce 1.893 -4.121 1.605
Ce 4.903 -2.209 3.085
Pb 5.728 -6.417 6.824
Pb 2.846 -9.455 5.560
Pb 1.754 -1.825 3.969
Pb -1.128 -4.863 2.705
```

Calculated values
V (Å³/atom): 29.065

---

Energy ordering: <2> at the bottom, the next structure 41.7 kJ/mol of atoms above.

---

<1>
DFT (PBE) results for Ce4RuPb2 after structural relaxation.

```
7
Lattice="3.628 0.000 0.000 0.000 9.343 1.263 0.000 -3.082 5.795" Properties=species:S:1:pos:R:3 pbc="T T T"
Ce 0.000 4.055 6.153
Ce 1.814 -0.434 2.165
Ce 0.000 3.100 1.913
Ce 1.814 -1.754 4.638
Pb 1.814 5.627 3.269
Pb 1.814 1.528 4.797
Ru 0.000 0.447 0.504
```

Calculated values
V (Å³/atom): 30.073

---

<2>
DFT (PBE) results for Ce4RuPb2 after structural relaxation.

```
7
Lattice="-1.990 -3.524 3.067 4.605 -2.041 0.643 0.030 7.936 4.934" Properties=species:S:1:pos:R:3 pbc="T T T"
Ce -0.995 -1.762 1.534
Ce 2.175 0.560 6.258
Ce 0.470 1.811 2.385
Ce 2.302 -1.021 0.321
Ru 0.000 0.000 0.000
Pb 1.673 -1.374 3.710
Pb 0.972 3.746 4.934
```

Calculated values
V (Å³/atom): 31.780

---

Energy ordering: <2> at the bottom, the next structure 11.5 kJ/mol of atoms above.